1.
AgSn2Bi GGA-PBE optimized geometry; crystal system = monoclinic; formation enthalpy at 0 K = 0.060 eV/atom; SG = P2_1/m (11)
1.0
4.2711 0.0000 0.0000
0.0000 8.8292 0.0000
-1.9849 0.0000 5.6008
Ag Sn Bi
2 4 2
Direct
0.2202 0.2500 0.4257
0.7798 0.7500 0.5743
0.3547 0.5337 0.7283
0.3547 0.9663 0.7283
0.6453 0.0337 0.2717
0.6453 0.4663 0.2717
0.0704 0.7500 0.1342
0.9296 0.2500 0.8658


2.
LaTaW2 GGA-PBE optimized geometry; crystal system = orthorhombic; formation enthalpy at 0 K = 0.673 eV/atom; SG = Imm2 (44); energy above the lowest structure with this stoichiometry = 0.293 eV/atom
1.0
3.2444 0.0000 0.0000
0.0000 5.0017 0.0000
0.0000 0.0000 9.8932
La Ta W
2 2 4
Direct
0.0000 0.0000 0.0000
0.5000 0.5000 0.5000
0.0000 0.5000 0.7679
0.5000 0.0000 0.2679
0.0000 0.0000 0.5307
0.0000 0.5000 0.2376
0.5000 0.0000 0.7376
0.5000 0.5000 0.0307


3.
Mg12Sc2Cd GGA-PBE optimized geometry; crystal system = tetragonal; formation enthalpy at 0 K = 0.157 eV/atom; SG = P4/nbm (125)
1.0
5.9508 0.0000 0.0000
0.0000 5.9508 0.0000
0.0000 0.0000 20.8285
Mg Sc Cd
24 4 2
Direct
0.0070 0.5070 0.1006
0.0070 0.9930 0.8994
0.0769 0.5769 0.4351
0.0769 0.9231 0.5649
0.2500 0.2500 0.2039
0.2500 0.2500 0.3367
0.2500 0.2500 0.6633
0.2500 0.2500 0.7961
0.4231 0.5769 0.5649
0.4231 0.9231 0.4351
0.4930 0.5070 0.8994
0.4930 0.9930 0.1006
0.5070 0.0070 0.8994
0.5070 0.4930 0.1006
0.5769 0.0769 0.5649
0.5769 0.4231 0.4351
0.7500 0.7500 0.2039
0.7500 0.7500 0.3367
0.7500 0.7500 0.6633
0.7500 0.7500 0.7961
0.9231 0.0769 0.4351
0.9231 0.4231 0.5649
0.9930 0.0070 0.1006
0.9930 0.4930 0.8994
0.2500 0.7500 0.2717
0.2500 0.7500 0.7283
0.7500 0.2500 0.2717
0.7500 0.2500 0.7283
0.2500 0.7500 0.0000
0.7500 0.2500 0.0000


4.
LaBe2Sb GGA-PBE optimized geometry; crystal system = monoclinic; raw formation energy = -0.10 eV/atom; SG = Pm (6); energy above the lowest structure with this stoichiometry = 0.130 eV/atom
1.0
4.3954 0.0000 0.0000
0.0000 3.9849 0.0000
-1.2653 0.0000 4.6733
La Be Sb
1 2 1
Direct
0.0000 0.0000 0.0000
0.5789 0.0000 0.4286
0.7294 0.5000 0.3435
0.3233 0.5000 0.6061


5.
KUAg2Se4 GGA-PBE optimized geometry; crystal system = orthorhombic; raw formation energy = -0.58 eV/atom; SG = I222 (23)
1.0
6.9687 0.0000 0.0000
0.0000 7.7169 0.0000
0.0000 0.0000 8.4844
K U Ag Se
2 2 4 8
Direct
0.0000 0.0000 0.0000
0.5000 0.5000 0.5000
0.0000 0.0000 0.5000
0.5000 0.5000 0.0000
0.0000 0.5000 0.1712
0.0000 0.5000 0.8288
0.5000 0.0000 0.3288
0.5000 0.0000 0.6712
0.2132 0.2132 0.3215
0.2132 0.7868 0.6785
0.2868 0.2868 0.8215
0.2868 0.7132 0.1785
0.7132 0.2868 0.1785
0.7132 0.7132 0.8215
0.7868 0.2132 0.6785
0.7868 0.7868 0.3215


6.
Mg7Al3 GGA-PBE optimized geometry; crystal system = monoclinic; formation enthalpy at 0 K = 0.005 eV/atom; SG = C2/m (12)
1.0
7.9464 -2.1531 0.0000
7.9464 2.1531 0.0000
-1.1822 0.0000 6.0459
Mg Al
7 3
Direct
0.0000 0.0000 0.0000
0.2010 0.2010 0.6028
0.3974 0.3974 0.1973
0.4012 0.4012 0.7009
0.5988 0.5988 0.2991
0.6026 0.6026 0.8027
0.7990 0.7990 0.3972
0.0000 0.0000 0.5000
0.2047 0.2047 0.0964
0.7953 0.7953 0.9036


7.
Nd3Ho2Bi3 GGA-PBE optimized geometry; crystal system = orthorhombic; formation enthalpy at 0 K = -0.599 eV/atom; SG = Cmcm (63)
1.0
2.2589 -7.1306 0.0000
2.2589 7.1306 0.0000
0.0000 0.0000 16.0489
Nd Ho Bi
6 4 6
Direct
0.0467 0.9533 0.6166
0.0467 0.9533 0.8834
0.3459 0.6541 0.7500
0.6541 0.3459 0.2500
0.9533 0.0467 0.1166
0.9533 0.0467 0.3834
0.2372 0.7628 0.0949
0.2372 0.7628 0.4051
0.7628 0.2372 0.5949
0.7628 0.2372 0.9051
0.3723 0.6277 0.2500
0.3940 0.6060 0.5400
0.3940 0.6060 0.9600
0.6060 0.3940 0.0400
0.6060 0.3940 0.4600
0.6277 0.3723 0.7500


8.
Na2AcTlI6 GGA-PBE optimized geometry; crystal system = trigonal; raw formation energy = -1.24 eV/atom; SG = R3 (146)
1.0
4.1682 2.4065 7.6066
-4.1682 2.4065 7.6066
0.0000 -4.8130 7.6066
Na Ac Tl I
2 1 1 6
Direct
0.0000 0.0000 0.0000
0.4921 0.4921 0.4921
0.6826 0.6826 0.6826
0.1932 0.1932 0.1932
0.0901 0.4043 0.7647
0.2706 0.8672 0.6293
0.4043 0.7647 0.0901
0.6293 0.2706 0.8672
0.7647 0.0901 0.4043
0.8672 0.6293 0.2706


9.
PrSiHgO4 GGA-PBE optimized geometry; crystal system = monoclinic; raw formation energy = -2.46 eV/atom; SG = C2/m (12)
1.0
5.8308 -3.1807 0.0000
5.8308 3.1807 0.0000
-1.3766 0.0000 6.9290
Pr Si Hg O
2 2 2 8
Direct
0.1943 0.1943 0.3474
0.8057 0.8057 0.6526
0.1383 0.1383 0.7657
0.8617 0.8617 0.2343
0.3909 0.3909 0.0071
0.6091 0.6091 0.9929
0.0004 0.0004 0.2420
0.9996 0.9996 0.7580
0.0168 0.6137 0.3490
0.2070 0.2070 0.9980
0.3863 0.9832 0.6510
0.6137 0.0168 0.3490
0.7930 0.7930 0.0020
0.9832 0.3863 0.6510


10.
CeCdFe GGA-PBE optimized geometry; crystal system = monoclinic; formation enthalpy at 0 K = -0.005 eV/atom; SG = Pm (6); energy above the lowest structure with this stoichiometry = 0.182 eV/atom
1.0
3.1949 0.0000 0.0000
0.0000 3.9467 0.0000
-0.0119 0.0000 10.1530
Ce Cd Fe
2 2 2
Direct
0.0000 0.0000 0.0000
0.4981 0.5000 0.3868
0.4990 0.5000 0.7770
0.9985 0.0000 0.6098
0.0017 0.0000 0.2123
0.5021 0.5000 0.1745


11.
Cs3TlSb GGA-PBE optimized geometry; crystal system = orthorhombic; raw formation energy = -0.29 eV/atom; SG = Cmc2_1 (36); energy above the lowest structure with this stoichiometry = 0.000 eV/atom
1.0
5.8243 -8.3402 0.0000
5.8243 8.3402 0.0000
0.0000 0.0000 5.9895
Cs Tl Sb
6 2 2
Direct
0.1249 0.8751 0.5000
0.1557 0.4559 0.5010
0.4559 0.1557 0.0010
0.5441 0.8443 0.5010
0.8443 0.5441 0.0010
0.8751 0.1249 0.0000
0.4506 0.5494 0.0017
0.5494 0.4506 0.5017
0.2686 0.7314 0.0006
0.7314 0.2686 0.5006


12.
Dy3Y8Ho3 GGA-PBE optimized geometry; crystal system = orthorhombic; formation enthalpy at 0 K = 0.124 eV/atom; SG = Immm (71)
1.0
-2.8145 5.3837 7.4604
2.8145 -5.3837 7.4604
2.8145 5.3837 -7.4604
Dy Y Ho
3 8 3
Direct
0.0000 0.0000 0.0000
0.1804 0.6804 0.5000
0.8196 0.3196 0.5000
0.1198 0.2779 0.8418
0.2379 0.8965 0.3414
0.4361 0.2779 0.1582
0.4450 0.1035 0.3414
0.5550 0.8965 0.6586
0.5639 0.7221 0.8418
0.7621 0.1035 0.6586
0.8802 0.7221 0.1582
0.2020 0.5000 0.7020
0.5000 0.5000 0.0000
0.7980 0.5000 0.2980


13.
SiBSCl2 GGA-PBE optimized geometry; crystal system = tetragonal; raw formation energy = 0.57 eV/atom; SG = P4/mmm (123); energy above the lowest structure with this stoichiometry = 0.000 eV/atom
1.0
4.2581 0.0000 0.0000
0.0000 4.2581 0.0000
0.0000 0.0000 4.5312
Si B S Cl
1 1 1 2
Direct
0.0000 0.0000 0.0000
0.5000 0.5000 0.5000
0.5000 0.5000 0.0000
0.0000 0.5000 0.5000
0.5000 0.0000 0.5000


14.
MgZrCr2 GGA-PBE optimized geometry; crystal system = tetragonal; formation enthalpy at 0 K = 0.843 eV/atom; SG = I-42d (122)
1.0
7.2436 0.0000 0.0000
0.0000 7.2436 0.0000
0.0000 0.0000 5.8616
Mg Zr Cr
4 4 8
Direct
0.0000 0.0000 0.0000
0.0000 0.5000 0.2500
0.5000 0.0000 0.7500
0.5000 0.5000 0.5000
0.0000 0.0000 0.5000
0.0000 0.5000 0.7500
0.5000 0.0000 0.2500
0.5000 0.5000 0.0000
0.2477 0.2500 0.1250
0.2500 0.7477 0.3750
0.2500 0.7523 0.8750
0.2523 0.2500 0.6250
0.7477 0.7500 0.6250
0.7500 0.2477 0.8750
0.7500 0.2523 0.3750
0.7523 0.7500 0.1250


15.
Pa2Tl2Br2O5 GGA-PBE optimized geometry; crystal system = tetragonal; raw formation energy = -2.48 eV/atom; SG = I4/mmm (139)
1.0
-2.1716 2.1716 13.7101
2.1716 -2.1716 13.7101
2.1716 2.1716 -13.7101
Pa Tl Br O
2 2 2 5
Direct
0.0768 0.0768 0.0000
0.9232 0.9232 0.0000
0.3336 0.3336 0.0000
0.6664 0.6664 0.0000
0.1924 0.1924 0.0000
0.8076 0.8076 0.0000
0.0000 0.0000 0.0000
0.0849 0.5849 0.5000
0.4151 0.9151 0.5000
0.5849 0.0849 0.5000
0.9151 0.4151 0.5000


16.
V3Mo GGA-PBE optimized geometry; crystal system = orthorhombic; formation enthalpy at 0 K = 0.173 eV/atom; SG = Pmm2 (25); energy above the lowest structure with this stoichiometry = 0.251 eV/atom
1.0
2.4731 0.0000 0.0000
0.0000 4.4639 0.0000
0.0000 0.0000 5.2228
V Mo
3 1
Direct
0.0000 0.0000 0.0000
0.0000 0.5000 0.2639
0.5000 0.5000 0.7750
0.5000 0.0000 0.5025


17.
Ba2SrLi6 GGA-PBE optimized geometry; crystal system = monoclinic; formation enthalpy at 0 K = 0.061 eV/atom; SG = C2/m (12)
1.0
5.2494 -4.5457 0.0000
5.2494 4.5457 0.0000
-1.3150 0.0000 6.8198
Ba Sr Li
2 1 6
Direct
0.1662 0.1662 0.3328
0.8338 0.8338 0.6672
0.5000 0.5000 0.0000
0.0002 0.3355 0.8345
0.9998 0.6645 0.1655
0.3353 0.6647 0.5000
0.3355 0.0002 0.8345
0.6645 0.9998 0.1655
0.6647 0.3353 0.5000


18.
LaY5Ho7 GGA-PBE optimized geometry; crystal system = orthorhombic; formation enthalpy at 0 K = 0.263 eV/atom; SG = Imm2 (44)
1.0
-3.3589 5.5747 5.7919
3.3589 -5.5747 5.7919
3.3589 5.5747 -5.7919
La Y Ho
1 5 7
Direct
0.0000 0.0000 0.0000
0.4331 0.4398 0.4645
0.4331 0.9687 0.9934
0.6989 0.1989 0.5000
0.9753 0.4398 0.0066
0.9753 0.9687 0.5355
0.1215 0.4521 0.6695
0.2071 0.7071 0.5000
0.2824 0.9526 0.3298
0.3986 0.3986 0.0000
0.6228 0.9526 0.6702
0.7038 0.7038 0.0000
0.7826 0.4521 0.3305


19.
Pu3Sb2H2 GGA-PBE optimized geometry; crystal system = monoclinic; SG = C2/m (12); energy above the lowest structure with this stoichiometry = 0.116 eV/atom
1.0
11.6900 0.0000 0.0000
0.0000 4.4211 0.0000
-1.0002 0.0000 6.2601
Pu Sb H
6 4 4
Direct
0.0000 0.0000 0.0000
0.1905 0.5000 0.7876
0.3095 0.0000 0.2124
0.5000 0.5000 0.0000
0.6905 0.0000 0.7876
0.8095 0.5000 0.2124
0.1160 0.5000 0.2912
0.3840 0.0000 0.7088
0.6160 0.0000 0.2912
0.8840 0.5000 0.7088
0.1752 0.0000 0.9030
0.3248 0.5000 0.0970
0.6752 0.5000 0.9030
0.8248 0.0000 0.0970


20.
VCrGe2 GGA-PBE optimized geometry; crystal system = tetragonal; formation enthalpy at 0 K = 0.339 eV/atom; SG = I-42d (122); energy above the lowest structure with this stoichiometry = 0.408 eV/atom
1.0
3.7429 0.0000 0.0000
0.0000 3.7429 0.0000
0.0000 0.0000 18.1730
V Cr Ge
4 4 8
Direct
0.0000 0.0000 0.0000
0.0000 0.5000 0.2500
0.5000 0.0000 0.7500
0.5000 0.5000 0.5000
0.0000 0.0000 0.5000
0.0000 0.5000 0.7500
0.5000 0.0000 0.2500
0.5000 0.5000 0.0000
0.2457 0.2500 0.6250
0.2500 0.7457 0.8750
0.2500 0.7543 0.3750
0.2543 0.2500 0.1250
0.7457 0.7500 0.1250
0.7500 0.2457 0.3750
0.7500 0.2543 0.8750
0.7543 0.7500 0.6250


21.
CeGd2Os GGA-PBE optimized geometry; crystal system = trigonal; formation enthalpy at 0 K = 0.298 eV/atom; SG = R-3m (166); energy above the lowest structure with this stoichiometry = 0.303 eV/atom
1.0
3.3351 0.0000 0.0000
-1.6676 2.8883 0.0000
0.0000 0.0000 32.6046
Ce Gd Os
3 6 3
Direct
0.0000 0.0000 0.0000
0.3333 0.6667 0.6667
0.6667 0.3333 0.3333
0.0000 0.0000 0.1020
0.0000 0.0000 0.8980
0.3333 0.6667 0.5647
0.3333 0.6667 0.7686
0.6667 0.3333 0.2314
0.6667 0.3333 0.4353
0.0000 0.0000 0.5000
0.3333 0.6667 0.1667
0.6667 0.3333 0.8333


22.
HoMgHgPd GGA-PBE optimized geometry; crystal system = cubic; formation enthalpy at 0 K = -0.585 eV/atom; SG = F-43m (216)
1.0
6.9448 0.0000 0.0000
0.0000 6.9448 0.0000
0.0000 0.0000 6.9448
Ho Mg Hg Pd
4 4 4 4
Direct
0.0000 0.0000 0.0000
0.0000 0.5000 0.5000
0.5000 0.0000 0.5000
0.5000 0.5000 0.0000
0.0000 0.0000 0.5000
0.0000 0.5000 0.0000
0.5000 0.0000 0.0000
0.5000 0.5000 0.5000
0.2500 0.2500 0.7500
0.2500 0.7500 0.2500
0.7500 0.2500 0.2500
0.7500 0.7500 0.7500
0.2500 0.2500 0.2500
0.2500 0.7500 0.7500
0.7500 0.2500 0.7500
0.7500 0.7500 0.2500


23.
SrCr2Ni GGA-PBE optimized geometry; crystal system = monoclinic; formation enthalpy at 0 K = 0.725 eV/atom; SG = P2/m (10); energy above the lowest structure with this stoichiometry = 0.328 eV/atom
1.0
2.9856 0.0000 0.0000
0.0000 4.3508 0.0000
-1.4809 0.0000 5.8924
Sr Cr Ni
1 2 1
Direct
0.0000 0.0000 0.0000
0.2765 0.5000 0.6257
0.7235 0.5000 0.3743
0.5000 0.0000 0.5000


Number 1: energy -3.624 eV/atom, calculated volume 211.2 Å³ per cell, theoretical density 8.7 g cm⁻³. Number 2: energy -9.999 eV/atom, calculated volume 160.5 Å³ per cell, theoretical density 14.2 g cm⁻³. Number 3: energy -2.024 eV/atom, calculated volume 737.6 Å³ per cell, theoretical density 2.2 g cm⁻³. Number 4: energy -4.223 eV/atom, calculated volume 81.9 Å³ per cell, theoretical density 5.7 g cm⁻³. Number 5: energy -4.588 eV/atom, calculated volume 456.3 Å³ per cell, theoretical density 5.9 g cm⁻³. Number 6: energy -2.234 eV/atom, calculated volume 206.9 Å³ per cell, theoretical density 2.0 g cm⁻³. Number 7: energy -4.987 eV/atom, calculated volume 517.0 Å³ per cell, theoretical density 8.9 g cm⁻³. Number 8: energy -3.086 eV/atom, calculated volume 457.8 Å³ per cell, theoretical density 4.5 g cm⁻³. Number 9: energy -6.795 eV/atom, calculated volume 257.0 Å³ per cell, theoretical density 5.6 g cm⁻³. Number 10: energy -5.108 eV/atom, calculated volume 128.0 Å³ per cell, theoretical density 8.0 g cm⁻³. Number 11: energy -2.101 eV/atom, calculated volume 581.9 Å³ per cell, theoretical density 4.1 g cm⁻³. Number 12: energy -5.537 eV/atom, calculated volume 452.2 Å³ per cell, theoretical density 6.2 g cm⁻³. Number 13: energy -3.413 eV/atom, calculated volume 82.2 Å³ per cell, theoretical density 2.9 g cm⁻³. Number 14: energy -6.504 eV/atom, calculated volume 307.6 Å³ per cell, theoretical density 4.7 g cm⁻³. Number 15: energy -7.192 eV/atom, calculated volume 258.6 Å³ per cell, theoretical density 7.1 g cm⁻³. Number 16: energy -9.374 eV/atom, calculated volume 57.7 Å³ per cell, theoretical density 7.2 g cm⁻³. Number 17: energy -1.829 eV/atom, calculated volume 325.5 Å³ per cell, theoretical density 2.1 g cm⁻³. Number 18: energy -5.067 eV/atom, calculated volume 433.8 Å³ per cell, theoretical density 6.7 g cm⁻³. Number 19: energy -8.702 eV/atom, calculated volume 323.5 Å³ per cell, theoretical density 10.0 g cm⁻³. Number 20: energy -6.655 eV/atom, calculated volume 254.6 Å³ per cell, theoretical density 6.5 g cm⁻³. Number 21: energy -11.033 eV/atom, calculated volume 314.1 Å³ per cell, theoretical density 10.2 g cm⁻³. Number 22: energy -3.502 eV/atom, calculated volume 334.9 Å³ per cell, theoretical density 9.8 g cm⁻³. Number 23: energy -5.953 eV/atom, calculated volume 76.5 Å³ per cell, theoretical density 5.4 g cm⁻³.